(1)
Below is crystalline Pr4CdAg2 at its relaxed geometry, with properties calculated at the GGA-PBE level.

- E above lowest polymorph: 95 meV/atom
- Fermi-level density of states: 9.49 states/eV per cell
- Energy of formation from the pure elements: -0.032 eV/atom

a = 9.8414 Å, b = 9.8414 Å, c = 9.8414 Å
α = 30.90°, β = 30.90°, γ = 30.90°
Positions (direct):
Pr  0.1224  0.1224  0.1224
Pr  0.2910  0.2910  0.2910
Pr  0.7090  0.7090  0.7090
Pr  0.8776  0.8776  0.8776
Cd  0.5000  0.5000  0.5000
Ag  0.4003  0.4003  0.4003
Ag  0.5997  0.5997  0.5997

=====

(2)
Below is crystalline SmYAg2 at its relaxed geometry, with properties calculated at the GGA-PBE level.

- E above lowest polymorph: 0 meV/atom
- Fermi-level density of states: 2.75 states/eV per cell
- Energy of formation from the pure elements: -0.304 eV/atom

a = 3.6557 Å, b = 3.6557 Å, c = 7.4424 Å
α = 90.00°, β = 90.00°, γ = 90.00°
Positions (direct):
Sm  0.0000  0.0000  0.0000
Y  0.0000  0.0000  0.5000
Ag  0.5000  0.5000  0.2596
Ag  0.5000  0.5000  0.7404

=====

(3)
Below is crystalline Pa4P3 at its relaxed geometry, with properties calculated at the GGA-PBE level.

- Fermi-level density of states: 26.47 states/eV per cell
- Energy of formation from the pure elements: -1.018 eV/atom

a = 7.2445 Å, b = 7.2445 Å, c = 7.2445 Å
α = 109.47°, β = 109.47°, γ = 109.47°
Positions (direct):
Pa  0.0000  0.3558  0.5000
Pa  0.0000  0.8558  0.5000
Pa  0.1442  0.1442  0.1442
Pa  0.3558  0.5000  0.0000
Pa  0.5000  0.0000  0.3558
Pa  0.5000  0.0000  0.8558
Pa  0.6442  0.6442  0.6442
Pa  0.8558  0.5000  0.0000
P  0.1250  0.7500  0.8750
P  0.2500  0.6250  0.3750
P  0.3750  0.2500  0.6250
P  0.6250  0.3750  0.2500
P  0.7500  0.8750  0.1250
P  0.8750  0.1250  0.7500

=====

(4)
Below is crystalline Nd6TlPb2Se3 at its relaxed geometry, with properties calculated at the GGA-PBE level.

- Uncorrected formation energy: -1144 meV per atom
- Fermi-level density of states: 5.24 states/eV per cell

a = 10.0654 Å, b = 10.0654 Å, c = 8.9391 Å
α = 108.66°, β = 108.66°, γ = 25.01°
Positions (direct):
Nd  0.0083  0.0083  0.2358
Nd  0.3278  0.3278  0.4326
Nd  0.3362  0.3362  0.9152
Nd  0.6638  0.6638  0.0848
Nd  0.6722  0.6722  0.5674
Nd  0.9917  0.9917  0.7642
Tl  0.5000  0.5000  0.5000
Pb  0.1619  0.1619  0.8202
Pb  0.8381  0.8381  0.1798
Se  0.1684  0.1684  0.3274
Se  0.5000  0.5000  0.0000
Se  0.8316  0.8316  0.6726

=====

(5)
Below is crystalline Y2Te2W at its relaxed geometry, with properties calculated at the GGA-PBE level.

- Uncorrected formation energy: -301 meV per atom
- E above lowest polymorph: 0 meV/atom
- Fermi-level density of states: 2.16 states/eV per cell

a = 7.6430 Å, b = 7.6430 Å, c = 4.1718 Å
α = 90.00°, β = 90.00°, γ = 90.00°
Positions (direct):
Y  0.1578  0.3422  0.0000
Y  0.3422  0.8422  0.0000
Y  0.6578  0.1578  0.0000
Y  0.8422  0.6578  0.0000
Te  0.1540  0.6540  0.5000
Te  0.3460  0.1540  0.5000
Te  0.6540  0.8460  0.5000
Te  0.8460  0.3460  0.5000
W  0.0000  0.0000  0.5000
W  0.5000  0.5000  0.5000

=====

(6)
Below is crystalline BaCr2P at its relaxed geometry, with properties calculated at the GGA-PBE level.

- Fermi-level density of states: 2.29 states/eV per cell
- Energy of formation from the pure elements: 0.744 eV/atom

a = 5.1688 Å, b = 5.1688 Å, c = 5.1688 Å
α = 60.00°, β = 60.00°, γ = 60.00°
Positions (direct):
Ba  0.0000  0.0000  0.0000
Cr  0.2500  0.2500  0.2500
Cr  0.5000  0.5000  0.5000
P  0.7500  0.7500  0.7500

=====

(7)
Below is crystalline LiTiBe2 at its relaxed geometry, with properties calculated at the GGA-PBE level.

- E above lowest polymorph: 437 meV/atom
- Fermi-level density of states: 3.36 states/eV per cell
- Energy of formation from the pure elements: 0.581 eV/atom

a = 5.1535 Å, b = 5.1535 Å, c = 5.1535 Å
α = 103.00°, β = 103.00°, γ = 123.37°
Positions (direct):
Li  0.0000  0.0000  0.0000
Li  0.7500  0.2500  0.5000
Ti  0.2500  0.7500  0.5000
Ti  0.5000  0.5000  0.0000
Be  0.1034  0.6250  0.9784
Be  0.3750  0.3534  0.4784
Be  0.6466  0.1250  0.0216
Be  0.8750  0.8966  0.5216